(1)
Below is crystalline Zr3Al at its relaxed geometry, with properties calculated at the PBE level.

a = 5.476 Å, b = 5.476 Å, c = 9.156 Å
α = 114.28°, β = 114.28°, γ = 43.84°
Atoms (fractional coordinates):
Zr 0.121 0.121 0.439
Zr 0.126 0.126 0.932
Zr 0.367 0.367 0.806
Zr 0.633 0.633 0.194
Zr 0.874 0.874 0.068
Zr 0.879 0.879 0.561
Al 0.372 0.372 0.310
Al 0.628 0.628 0.690

Results
- raw total energy (Ha/atom) = -0.278
- space-group type = C2/m (12)
- energy of formation from the pure elements (eV per formula unit) = -0.87



(2)
Below is crystalline La5Pm2 at its relaxed geometry, with properties calculated at the PBE level.

a = 9.133 Å, b = 9.133 Å, c = 9.133 Å
α = 37.52°, β = 37.52°, γ = 37.52°
Atoms (fractional coordinates):
La 0.000 0.000 0.000
La 0.298 0.298 0.298
La 0.432 0.432 0.432
La 0.568 0.568 0.568
La 0.702 0.702 0.702
Pm 0.159 0.159 0.159
Pm 0.841 0.841 0.841

Results
- energy above the most stable polymorph in this dataset (meV/atom) = 88.4
- raw total energy (Ha/atom) = -0.175
- space-group type = R-3m (166)
- energy of formation from the pure elements (eV per formula unit) = 0.73



(3)
Below is crystalline SmAgPt at its relaxed geometry, with properties calculated at the PBE level.

a = 5.302 Å, b = 5.302 Å, c = 5.302 Å
α = 138.57°, β = 138.57°, γ = 60.04°
Atoms (fractional coordinates):
Sm 0.000 0.000 0.000
Ag 0.680 0.680 0.000
Pt 0.349 0.349 0.000

Results
- energy above the most stable polymorph in this dataset (meV/atom) = 122.4
- raw total energy (Ha/atom) = -0.191
- space-group type = I4mm (107)
- energy of formation from the pure elements (eV per formula unit) = -1.98



(4)
Below is crystalline MnTl2Hg at its relaxed geometry, with properties calculated at the PBE level.

a = 5.223 Å, b = 5.223 Å, c = 5.223 Å
α = 60.00°, β = 60.00°, γ = 60.00°
Atoms (fractional coordinates):
Mn 0.000 0.000 0.000
Tl 0.250 0.250 0.250
Tl 0.750 0.750 0.750
Hg 0.500 0.500 0.500

Results
- energy above the most stable polymorph in this dataset (meV/atom) = 132.2
- raw total energy (Ha/atom) = -0.116
- space-group type = Fm-3m (225)
- energy of formation from the pure elements (eV per formula unit) = 1.58



(5)
Below is crystalline Ho2Al4IrAu3 at its relaxed geometry, with properties calculated at the PBE level.

a = 4.178 Å, b = 4.178 Å, c = 10.946 Å
α = 90.00°, β = 90.00°, γ = 90.00°
Atoms (fractional coordinates):
Ho 0.000 0.500 0.242
Ho 0.500 0.000 0.758
Al 0.000 0.000 0.500
Al 0.000 0.500 0.870
Al 0.500 0.000 0.130
Al 0.500 0.500 0.500
Ir 0.500 0.500 0.000
Au 0.000 0.000 0.000
Au 0.000 0.500 0.643
Au 0.500 0.000 0.357

Results
- raw total energy (Ha/atom) = -0.184
- space-group type = P-4m2 (115)
- energy of formation from the pure elements (eV per formula unit) = -7.24



(6)
Below is crystalline GaAgSn3 at its relaxed geometry, with properties calculated at the PBE level.

a = 5.321 Å, b = 5.321 Å, c = 5.321 Å
α = 90.00°, β = 90.00°, γ = 90.00°
Atoms (fractional coordinates):
Ga 0.000 0.000 0.000
Ag 0.500 0.500 0.500
Sn 0.000 0.000 0.500
Sn 0.000 0.500 0.000
Sn 0.500 0.000 0.000

Results
- energy above the most stable polymorph in this dataset (meV/atom) = 447.1
- raw total energy (Ha/atom) = -0.112
- space-group type = Pm-3m (221)
- energy of formation from the pure elements (eV per formula unit) = 2.63



(7)
Below is crystalline Cu2MoSe at its relaxed geometry, with properties calculated at the PBE level.

a = 2.698 Å, b = 2.698 Å, c = 8.529 Å
α = 90.00°, β = 90.00°, γ = 90.00°
Atoms (fractional coordinates):
Cu 0.000 0.000 0.228
Cu 0.000 0.000 0.772
Mo 0.500 0.500 0.000
Se 0.500 0.500 0.500

Results
- raw total energy (Ha/atom) = -0.194
- space-group type = P4/mmm (123)
- ΔE_f (raw) (kJ/mol of atoms) = 33



(8)
Below is crystalline Ba2NaH6Rh at its relaxed geometry, with properties calculated at the PBE level.

a = 5.735 Å, b = 5.735 Å, c = 5.618 Å
α = 90.00°, β = 90.00°, γ = 120.00°
Atoms (fractional coordinates):
Ba 0.333 0.667 0.306
Ba 0.667 0.333 0.694
Na 0.000 0.000 0.000
H 0.146 0.292 0.677
H 0.146 0.854 0.677
H 0.292 0.146 0.323
H 0.708 0.854 0.677
H 0.854 0.146 0.323
H 0.854 0.708 0.323
Rh 0.000 0.000 0.500

Results
- raw total energy (Ha/atom) = -0.135
- space-group type = P-3m1 (164)



(9)
Below is crystalline Li2CeNdTe4 at its relaxed geometry, with properties calculated at the PBE level.

a = 7.529 Å, b = 4.473 Å, c = 7.739 Å
α = 90.00°, β = 109.97°, γ = 90.00°
Atoms (fractional coordinates):
Li 0.000 0.000 0.000
Li 0.000 0.500 0.500
Ce 0.500 0.000 0.500
Nd 0.500 0.500 0.000
Te 0.238 0.000 0.746
Te 0.238 0.500 0.246
Te 0.762 0.000 0.254
Te 0.762 0.500 0.754

Results
- raw total energy (Ha/atom) = -0.171
- space-group type = P2/m (10)
- ΔE_f (raw) (kJ/mol of atoms) = -122



(10)
Below is crystalline BaSiBr2 at its relaxed geometry, with properties calculated at the PBE level.

a = 8.228 Å, b = 8.228 Å, c = 8.228 Å
α = 33.65°, β = 33.65°, γ = 33.65°
Atoms (fractional coordinates):
Ba 0.000 0.000 0.000
Si 0.761 0.761 0.761
Br 0.261 0.261 0.261
Br 0.444 0.444 0.444

Results
- energy above the most stable polymorph in this dataset (meV/atom) = 185.7
- raw total energy (Ha/atom) = -0.123
- space-group type = R3m (160)
- ΔE_f (raw) (kJ/mol of atoms) = -64



(11)
Below is crystalline BaPr2Ga6 at its relaxed geometry, with properties calculated at the PBE level.

a = 7.974 Å, b = 7.974 Å, c = 7.974 Å
α = 146.05°, β = 121.31°, γ = 69.56°
Atoms (fractional coordinates):
Ba 0.000 0.000 0.000
Pr 0.370 0.870 0.500
Pr 0.630 0.130 0.500
Ga 0.024 0.317 0.707
Ga 0.333 0.500 0.833
Ga 0.390 0.683 0.707
Ga 0.610 0.317 0.293
Ga 0.667 0.500 0.167
Ga 0.976 0.683 0.293

Results
- energy above the most stable polymorph in this dataset (meV/atom) = 114.9
- raw total energy (Ha/atom) = -0.138
- space-group type = Immm (71)
- energy of formation from the pure elements (eV per formula unit) = -4.09



(12)
Below is crystalline MnSi2Ag at its relaxed geometry, with properties calculated at the PBE level.

a = 2.879 Å, b = 2.879 Å, c = 6.683 Å
α = 90.00°, β = 90.00°, γ = 90.00°
Atoms (fractional coordinates):
Mn 0.000 0.000 0.000
Si 0.500 0.500 0.194
Si 0.500 0.500 0.806
Ag 0.000 0.000 0.500

Results
- energy above the most stable polymorph in this dataset (meV/atom) = 115.9
- raw total energy (Ha/atom) = -0.207
- space-group type = P4/mmm (123)
- ΔE_f (raw) (kJ/mol of atoms) = 8